[1]
Compound: La2InPd2Pt5
Source: Alexandria via LeMat-Bulk
Functional: GGA-PBE
Structure: optimized geometry

Values from the calculation:
SG = No. 127
ΔH_f (0 K) = -0.809 eV per atom

```
La2InPd2Pt5
1.0
9.615 0.000 0.000
0.000 9.615 0.000
0.000 0.000 4.214
La In Pd Pt
4 2 4 10
Direct
0.173 0.327 0.000 La
0.327 0.827 0.000 La
0.673 0.173 0.000 La
0.827 0.673 0.000 La
0.000 0.000 0.000 In
0.500 0.500 0.000 In
0.127 0.627 0.000 Pd
0.373 0.127 0.000 Pd
0.627 0.873 0.000 Pd
0.873 0.373 0.000 Pd
0.000 0.500 0.500 Pt
0.060 0.796 0.500 Pt
0.204 0.060 0.500 Pt
0.296 0.560 0.500 Pt
0.440 0.296 0.500 Pt
0.500 0.000 0.500 Pt
0.560 0.704 0.500 Pt
0.704 0.440 0.500 Pt
0.796 0.940 0.500 Pt
0.940 0.204 0.500 Pt
```

=====

[2]
Compound: BeBP
Source: Alexandria via LeMat-Bulk
Functional: GGA-PBE
Structure: optimized geometry

Values from the calculation:
SG = No. 2
ΔH_f (0 K) = 0.285 eV per atom
Offset from the most stable computed form = 27.3 kJ per mole of atoms

```
BeBP
1.0
2.728 0.000 0.000
-0.035 4.881 0.000
-1.345 -1.380 4.877
Be B P
2 2 2
Direct
0.186 0.075 0.370 Be
0.814 0.925 0.630 Be
0.386 0.251 0.773 B
0.614 0.749 0.227 B
0.421 0.664 0.832 P
0.579 0.336 0.168 P
```

=====

[3]
Compound: TmBiPd4
Source: Alexandria via LeMat-Bulk
Functional: GGA-PBE
Structure: optimized geometry

Values from the calculation:
SG = No. 12
ΔH_f (0 K) = -0.594 eV per atom
Offset from the most stable computed form = 0.0 kJ per mole of atoms

```
TmBiPd4
1.0
2.494 -4.474 0.000
2.494 4.474 0.000
-0.310 0.000 4.993
Tm Bi Pd
1 1 4
Direct
0.000 0.000 0.000 Tm
0.500 0.500 0.500 Bi
0.167 0.833 0.500 Pd
0.333 0.667 0.000 Pd
0.667 0.333 0.000 Pd
0.833 0.167 0.500 Pd
```

=====

Question: Which value of ΔH_f (0 K) does entry 1 give?
Answer: -0.809 eV per atom

=====

Question: Which value of ΔH_f (0 K) does entry 2 give?
Answer: 0.285 eV per atom

=====

What did the third record say?
Compound: TmBiPd4
Source: Alexandria via LeMat-Bulk
Functional: GGA-PBE
Structure: optimized geometry

Values from the calculation:
SG = No. 12
ΔH_f (0 K) = -0.594 eV per atom
Offset from the most stable computed form = 0.0 kJ per mole of atoms

```
TmBiPd4
1.0
2.494 -4.474 0.000
2.494 4.474 0.000
-0.310 0.000 4.993
Tm Bi Pd
1 1 4
Direct
0.000 0.000 0.000 Tm
0.500 0.500 0.500 Bi
0.167 0.833 0.500 Pd
0.333 0.667 0.000 Pd
0.667 0.333 0.000 Pd
0.833 0.167 0.500 Pd
```

=====

Question: Among the records above, which one has the highest ΔH_f (0 K)?
Answer: BeBP